Record 1
Material: GaNiPdO4
Method: DFT, PBE with a Hubbard U
State: relaxed

Output
Total moment in μB per formula unit: 1.20
E_tot in eV per atom: -5.380

The structure in POSCAR format:
```
GaNiPdO4
1.0
-6.170 -1.151 -1.216
2.927 -2.704 4.512
-1.155 5.913 0.263
O Ga Ni Pd
8 2 2 2
Direct
0.712 0.998 0.249 O
0.257 0.513 0.272 O
0.743 0.487 0.728 O
0.288 0.002 0.751 O
0.714 0.002 0.751 O
0.286 0.998 0.249 O
0.743 0.487 0.258 O
0.257 0.513 0.742 O
0.500 0.000 0.000 Ga
0.500 0.000 0.500 Ga
0.113 0.227 0.863 Ni
0.887 0.773 0.137 Ni
0.000 0.500 0.500 Pd
0.500 0.500 0.500 Pd
```

***

Record 2
Material: GaNi2PdO6
Method: DFT, PBE with a Hubbard U
State: relaxed

Output
Total moment in μB per formula unit: 5.35
E_tot in eV per atom: -4.805

The structure in POSCAR format:
```
GaNi2PdO6
1.0
-1.382 -3.398 1.437
5.286 -1.674 1.125
-0.360 2.323 5.147
O Pd Ni Ga
6 1 2 1
Direct
0.176 0.000 0.000 O
0.752 0.753 0.753 O
0.752 0.753 0.247 O
0.752 0.247 0.247 O
0.752 0.247 0.753 O
0.202 0.500 0.500 O
0.693 0.500 0.500 Pd
0.860 0.000 0.500 Ni
0.860 0.500 0.000 Ni
0.650 0.000 0.000 Ga
```

***

Record 3
Material: PmGaNiO4
Method: DFT, PBE with a Hubbard U
State: relaxed

Output
Total moment in μB per formula unit: 1.97
E_tot in eV per atom: -6.338

The structure in POSCAR format:
```
PmGaNiO4
1.0
6.291 0.000 0.000
3.146 5.460 -0.093
3.146 1.575 5.229
O Ni Pm Ga
8 2 2 2
Direct
0.245 0.762 0.262 O
0.733 0.767 0.766 O
0.733 0.266 0.267 O
0.732 0.762 0.262 O
0.267 0.734 0.733 O
0.755 0.238 0.738 O
0.268 0.238 0.738 O
0.267 0.233 0.234 O
0.000 0.000 0.500 Ni
0.500 0.000 0.500 Ni
0.000 0.500 0.500 Pm
0.000 0.000 0.000 Pm
0.385 0.365 0.865 Ga
0.615 0.635 0.135 Ga
```